(1)
MgCd2WSe | PBE-GGA | relaxed

Structure (POSCAR):
```
MgCd2WSe
1.0
5.367 0.000 0.000
0.000 5.367 0.000
0.000 0.000 4.757
Mg Cd W Se
1 2 1 1
Cartesian
0.000 0.000 0.000
0.000 2.684 0.000
2.684 0.000 0.000
2.684 2.684 2.378
0.000 0.000 2.378
```

Output
The calculated volume is 137.03 Å³ per cell. The density of states at the Fermi level is 4.34 states/eV/f.u. The calculated total energy is -2.636 eV per atom. The space group is P4/mmm, No. 123. As for the total magnetization: 4.288 μB/f.u. Its uncorrected formation energy is 128.98 kJ per mole of atoms.

---

(2)
BaNbP2O | PBE-GGA | relaxed

Structure (POSCAR):
```
BaNbP2O
1.0
5.060 0.000 0.000
0.000 5.060 0.000
0.000 0.000 4.089
Ba Nb P O
1 1 2 1
Cartesian
0.000 0.000 0.000
2.530 2.530 2.044
0.000 2.530 2.044
2.530 0.000 2.044
2.530 2.530 0.000
```

Output
The calculated volume is 104.68 Å³ per cell. The density of states at the Fermi level is 3.14 states/eV/f.u. The calculated total energy is -6.662 eV per atom. The space group is P4/mmm, No. 123. As for the total magnetization: 0.000 μB/f.u. Its uncorrected formation energy is -106.89 kJ per mole of atoms. Its offset from the most stable computed form is 0.0 meV/atom.

---

(3)
K2PH3 | PBE-GGA | relaxed

Structure (POSCAR):
```
K2PH3
1.0
0.000 4.321 7.807
3.841 0.000 7.807
3.841 4.321 0.000
K P H
4 2 6
Cartesian
3.841 1.719 7.807
1.921 2.160 3.903
5.762 6.481 11.710
3.841 6.922 7.807
3.841 4.321 5.684
3.841 4.321 9.930
3.841 4.321 2.018
4.885 4.321 6.671
4.885 4.321 8.943
2.797 4.321 6.671
2.797 4.321 8.943
3.841 4.321 13.596
```

Output
The calculated volume is 259.14 Å³ per cell. The density of states at the Fermi level is 0.00 states/eV/f.u. The calculated total energy is -3.115 eV per atom. The space group is Fmmm, No. 69. As for the total magnetization: 0.000 μB/f.u.

---

(4)
Na4Np3CoS8 | PBE-GGA | relaxed

Structure (POSCAR):
```
Na4Np3CoS8
1.0
3.883 2.242 6.675
-3.883 2.242 6.675
0.000 -4.484 6.675
Na Np Co S
4 3 1 8
Cartesian
0.000 0.000 0.000
-1.942 -1.121 6.675
-1.942 1.121 13.351
0.000 2.242 6.675
-3.883 0.000 10.013
-1.942 1.121 3.338
1.942 1.121 3.338
0.000 0.000 10.013
0.000 0.000 4.880
-1.876 -1.083 11.470
0.000 -2.166 8.556
-1.876 1.083 8.556
1.876 -1.083 11.470
0.000 2.166 11.470
1.876 1.083 8.556
0.000 0.000 15.146
```

Output
The calculated volume is 348.74 Å³ per cell. The density of states at the Fermi level is 36.07 states/eV/f.u. The calculated total energy is -6.409 eV per atom. The space group is R-3m, No. 166. As for the total magnetization: 12.261 μB/f.u. Its uncorrected formation energy is -110.50 kJ per mole of atoms.

---

(5)
PmNd2Hf | PBE-GGA | relaxed

Structure (POSCAR):
```
PmNd2Hf
1.0
4.976 0.000 0.000
0.000 4.976 0.000
0.000 0.000 4.962
Pm Nd Hf
1 2 1
Cartesian
0.000 0.000 0.000
0.000 2.488 2.481
2.488 0.000 2.481
2.488 2.488 0.000
```

Output
The calculated volume is 122.84 Å³ per cell. The density of states at the Fermi level is 4.02 states/eV/f.u. The calculated total energy is -5.874 eV per atom. The space group is P4/mmm, No. 123. The value obtained for the formation enthalpy at 0 K is 186 meV/atom. As for the total magnetization: 0.000 μB/f.u. Its offset from the most stable computed form is 0.0 meV/atom.

---

(6)
TaPRh | PBE-GGA | relaxed

Structure (POSCAR):
```
TaPRh
1.0
6.296 0.000 0.000
0.000 3.828 0.000
-0.077 0.000 10.771
Ta P Rh
6 6 6
Cartesian
0.184 0.957 1.211
0.909 0.957 4.531
2.808 2.871 8.433
3.411 0.957 2.338
5.310 2.871 6.240
6.035 2.871 9.559
1.471 2.871 2.689
1.537 0.957 9.858
1.563 2.871 6.292
4.656 0.957 4.479
4.681 2.871 0.913
4.748 0.957 8.081
0.706 0.957 7.623
2.252 2.871 0.510
3.006 2.871 4.414
3.213 0.957 6.357
3.966 0.957 10.260
5.512 2.871 3.147
```

Output
The calculated volume is 259.57 Å³ per cell. The density of states at the Fermi level is 1.36 states/eV/f.u. The calculated total energy is -8.987 eV per atom. The space group is P2_1/m, No. 11. The value obtained for the formation enthalpy at 0 K is -782 meV/atom. As for the total magnetization: 0.000 μB/f.u.

---

(7)
Dy2YTe | PBE-GGA | relaxed

Structure (POSCAR):
```
Dy2YTe
1.0
1.946 1.123 9.761
-1.946 1.123 9.761
0.000 -2.247 9.761
Dy Y Te
2 1 1
Cartesian
0.000 0.000 0.000
0.000 0.000 5.546
0.000 0.000 12.523
0.000 0.000 17.412
```

Output
The calculated volume is 128.00 Å³ per cell. The density of states at the Fermi level is 5.04 states/eV/f.u. The calculated total energy is -5.243 eV per atom. The space group is R3m, No. 160. As for the total magnetization: 0.001 μB/f.u. Its uncorrected formation energy is -52.18 kJ per mole of atoms. Its offset from the most stable computed form is 121.1 meV/atom.

---

(8)
SmY2Tm8 | PBE-GGA | relaxed

Structure (POSCAR):
```
SmY2Tm8
1.0
8.593 -2.692 0.000
8.593 2.692 0.000
-3.625 0.000 7.417
Sm Y Tm
1 2 8
Cartesian
0.000 0.000 0.000
3.856 0.000 2.552
9.705 0.000 4.865
0.373 0.000 3.280
-0.385 0.000 6.629
2.957 0.000 5.975
7.257 0.000 2.055
6.304 0.000 5.363
10.604 0.000 1.442
13.947 0.000 0.788
13.189 0.000 4.137
```

Output
The calculated volume is 343.15 Å³ per cell. The density of states at the Fermi level is 19.13 states/eV/f.u. The calculated total energy is -4.747 eV per atom. The space group is C2/m, No. 12. The value obtained for the formation enthalpy at 0 K is 109 meV/atom. As for the total magnetization: 0.000 μB/f.u. Its offset from the most stable computed form is 80.8 meV/atom.